1.
# GaCuW2O8 | the Alexandria database | meta-GGA SCAN | PBEsol geometry
# ΔE_f (raw) = -2281 kJ/mol of formula units
# calculated total energy = -977.669 eV for the cell shown
# spin magnetization = 0.0 μB per formula unit
# crystal system = monoclinic
data_GaCuW2O8
_cell_length_a 9.1815
_cell_length_b 11.3299
_cell_length_c 4.9198
_cell_angle_alpha 90.00
_cell_angle_beta 90.78
_cell_angle_gamma 90.00
_space_group_name_H-M_alt 'C 1 2/c 1'
_space_group_IT_number 15
loop_
_space_group_symop_operation_xyz
'x,y,z'
'-x,-y,-z'
'-x,y,-z+1/2'
'x,-y,z+1/2'
'x+1/2,y+1/2,z'
'-x+1/2,-y+1/2,-z'
'-x+1/2,y+1/2,-z+1/2'
'x+1/2,-y+1/2,z+1/2'
loop_
_atom_site_label
_atom_site_type_symbol
_atom_site_fract_x
_atom_site_fract_y
_atom_site_fract_z
Ga1 Ga 0.0000 0.1672 0.2500
Cu1 Cu 0.0000 0.3346 0.7500
W1 W 0.2478 0.4120 0.2463
O1 O 0.1178 0.1825 0.5830
O2 O 0.1196 0.3054 0.1054
O3 O 0.1358 0.0592 0.0776
O4 O 0.1416 0.4495 0.5634

2.
# Mn3MoP | the Alexandria database | meta-GGA SCAN | PBEsol geometry
# calculated total energy = -93.413 eV for the cell shown
# DFT formation energy = 1.327 eV/atom
# spin magnetization = 8.9 μB per formula unit
# crystal system = cubic
data_Mn3MoP
_cell_length_a 4.4465
_cell_length_b 4.4465
_cell_length_c 4.4465
_cell_angle_alpha 90.00
_cell_angle_beta 90.00
_cell_angle_gamma 90.00
_space_group_name_H-M_alt 'P m -3 m'
_space_group_IT_number 221
_space_group_name_Hall '-P 4 2 3'
loop_
_atom_site_label
_atom_site_type_symbol
_atom_site_fract_x
_atom_site_fract_y
_atom_site_fract_z
Mn1 Mn 0.0000 0.0000 0.5000
Mo1 Mo 0.0000 0.0000 0.0000
P1 P 0.5000 0.5000 0.5000

3.
# GaAg2F2 | the Alexandria database | meta-GGA SCAN | PBEsol geometry
# ΔE_f (raw) = -322 kJ/mol of formula units
# calculated total energy = -179.000 eV for the cell shown
# spin magnetization = 0.0 μB per formula unit
# crystal system = tetragonal
data_GaAg2F2
_cell_length_a 3.8941
_cell_length_b 3.8941
_cell_length_c 10.6231
_cell_angle_alpha 90.00
_cell_angle_beta 90.00
_cell_angle_gamma 90.00
_space_group_name_H-M_alt 'I 4/m m m'
_space_group_IT_number 139
_space_group_name_Hall '-I 4 2'
loop_
_atom_site_label
_atom_site_type_symbol
_atom_site_fract_x
_atom_site_fract_y
_atom_site_fract_z
Ga1 Ga 0.0000 0.0000 0.0000
Ag1 Ag 0.0000 0.5000 0.2500
F1 F 0.0000 0.0000 0.3851

4.
# In3PbAu | the Alexandria database | meta-GGA SCAN | PBEsol geometry
# calculated total energy = -241.664 eV for the cell shown
# DFT formation energy = 0.687 eV/atom
# spin magnetization = 0.0 μB per formula unit
# crystal system = cubic
data_In3PbAu
_cell_length_a 5.6290
_cell_length_b 5.6290
_cell_length_c 5.6290
_cell_angle_alpha 90.00
_cell_angle_beta 90.00
_cell_angle_gamma 90.00
_space_group_name_H-M_alt 'P m -3 m'
_space_group_IT_number 221
_space_group_name_Hall '-P 4 2 3'
loop_
_atom_site_label
_atom_site_type_symbol
_atom_site_fract_x
_atom_site_fract_y
_atom_site_fract_z
In1 In 0.0000 0.0000 0.5000
Pb1 Pb 0.0000 0.0000 0.0000
Au1 Au 0.5000 0.5000 0.5000

5.
# HoAlGa | the Alexandria database | meta-GGA SCAN | PBEsol geometry
# calculated total energy = -75.028 eV for the cell shown
# DFT formation energy = -0.647 eV/atom
# spin magnetization = 0.0 μB per formula unit
# crystal system = hexagonal
data_HoAlGa
_cell_length_a 4.4029
_cell_length_b 4.4029
_cell_length_c 3.4712
_cell_angle_alpha 90.00
_cell_angle_beta 90.00
_cell_angle_gamma 120.00
_space_group_name_H-M_alt 'P -6 m 2'
_space_group_IT_number 187
_space_group_name_Hall 'P -6 2'
loop_
_atom_site_label
_atom_site_type_symbol
_atom_site_fract_x
_atom_site_fract_y
_atom_site_fract_z
Ho1 Ho 0.0000 0.0000 0.0000
Al1 Al 0.6667 0.3333 0.5000
Ga1 Ga 0.3333 0.6667 0.5000

6.
# KRb2TaIn | the Alexandria database | meta-GGA SCAN | PBEsol geometry
# calculated total energy = -142.157 eV for the cell shown
# DFT formation energy = 1.524 eV/atom
# spin magnetization = 4.3 μB per formula unit
# crystal system = tetragonal
data_KRb2TaIn
_cell_length_a 6.6385
_cell_length_b 6.6385
_cell_length_c 6.4561
_cell_angle_alpha 90.00
_cell_angle_beta 90.00
_cell_angle_gamma 90.00
_space_group_name_H-M_alt 'P 4/m m m'
_space_group_IT_number 123
_space_group_name_Hall '-P 4 2'
loop_
_atom_site_label
_atom_site_type_symbol
_atom_site_fract_x
_atom_site_fract_y
_atom_site_fract_z
K1 K 0.0000 0.0000 0.0000
Rb1 Rb 0.0000 0.5000 0.5000
Ta1 Ta 0.5000 0.5000 0.0000
In1 In 0.0000 0.0000 0.5000

7.
# RbNbV2O8 | the Alexandria database | meta-GGA SCAN | PBEsol geometry
# ΔE_f (raw) = -3030 kJ/mol of formula units
# calculated total energy = -680.403 eV for the cell shown
# spin magnetization = 0.0 μB per formula unit
# crystal system = orthorhombic
data_RbNbV2O8
_cell_length_a 14.9880
_cell_length_b 5.6177
_cell_length_c 9.1407
_cell_angle_alpha 90.00
_cell_angle_beta 90.00
_cell_angle_gamma 90.00
_space_group_name_H-M_alt 'P n m a'
_space_group_IT_number 62
loop_
_space_group_symop_operation_xyz
'x,y,z'
'-x,-y,-z'
'-x+1/2,-y,z+1/2'
'x+1/2,y,-z+1/2'
'x+1/2,-y+1/2,-z+1/2'
'-x+1/2,y+1/2,z+1/2'
'-x,y+1/2,-z'
'x,-y+1/2,z'
loop_
_atom_site_label
_atom_site_type_symbol
_atom_site_fract_x
_atom_site_fract_y
_atom_site_fract_z
Rb1 Rb 0.1064 0.2500 0.0631
Nb1 Nb 0.1606 0.2500 0.5003
V1 V 0.0597 0.7500 0.3155
V2 V 0.1638 0.7500 0.7449
O1 O 0.0390 0.2500 0.5871
O2 O 0.0405 0.7500 0.1398
O3 O 0.0572 0.7500 0.7714
O4 O 0.1228 0.0026 0.3584
O5 O 0.1953 0.0007 0.6452
O6 O 0.2179 0.7500 0.9158

8.
# Cs3TcNi | the Alexandria database | meta-GGA SCAN | PBEsol geometry
# calculated total energy = -156.366 eV for the cell shown
# DFT formation energy = 1.660 eV/atom
# spin magnetization = 0.9 μB per formula unit
# crystal system = cubic
data_Cs3TcNi
_cell_length_a 5.6320
_cell_length_b 5.6320
_cell_length_c 5.6320
_cell_angle_alpha 90.00
_cell_angle_beta 90.00
_cell_angle_gamma 90.00
_space_group_name_H-M_alt 'P m -3 m'
_space_group_IT_number 221
_space_group_name_Hall '-P 4 2 3'
loop_
_atom_site_label
_atom_site_type_symbol
_atom_site_fract_x
_atom_site_fract_y
_atom_site_fract_z
Cs1 Cs 0.0000 0.0000 0.5000
Tc1 Tc 0.0000 0.0000 0.0000
Ni1 Ni 0.5000 0.5000 0.5000

9.
# CrHgSb2Te | the Alexandria database | meta-GGA SCAN | PBEsol geometry
# ΔE_f (raw) = 466 kJ/mol of formula units
# calculated total energy = -193.490 eV for the cell shown
# spin magnetization = 3.9 μB per formula unit
# crystal system = tetragonal
data_CrHgSb2Te
_cell_length_a 5.4057
_cell_length_b 5.4057
_cell_length_c 5.5744
_cell_angle_alpha 90.00
_cell_angle_beta 90.00
_cell_angle_gamma 90.00
_space_group_name_H-M_alt 'P 4/m m m'
_space_group_IT_number 123
_space_group_name_Hall '-P 4 2'
loop_
_atom_site_label
_atom_site_type_symbol
_atom_site_fract_x
_atom_site_fract_y
_atom_site_fract_z
Cr1 Cr 0.0000 0.0000 0.0000
Hg1 Hg 0.5000 0.5000 0.5000
Sb1 Sb 0.0000 0.5000 0.5000
Te1 Te 0.5000 0.5000 0.0000

10.
# Co2TePt | the Alexandria database | meta-GGA SCAN | PBEsol geometry
# ΔE_f (raw) = 97 kJ/mol of formula units
# calculated total energy = -141.052 eV for the cell shown
# spin magnetization = 3.4 μB per formula unit
# crystal system = orthorhombic
data_Co2TePt
_cell_length_a 3.0723
_cell_length_b 3.3904
_cell_length_c 5.4846
_cell_angle_alpha 90.00
_cell_angle_beta 90.00
_cell_angle_gamma 90.00
_space_group_name_H-M_alt 'P m m m'
_space_group_IT_number 47
loop_
_space_group_symop_operation_xyz
'x,y,z'
'-x,-y,-z'
'-x,-y,z'
'x,y,-z'
'x,-y,-z'
'-x,y,z'
'-x,y,-z'
'x,-y,z'
loop_
_atom_site_label
_atom_site_type_symbol
_atom_site_fract_x
_atom_site_fract_y
_atom_site_fract_z
Co1 Co 0.0000 0.0000 0.2364
Te1 Te 0.5000 0.5000 0.5000
Pt1 Pt 0.5000 0.5000 0.0000

Look up the spin magnetization of the third one. 0.0 μB per formula unit